[1]
A relaxed structure of La6NiHg2. Source: Alexandria via LeMat-Bulk, functional GGA-PBE.

The space group is P2_1/c (No. 14) and the conventional cell measures 6.8258, 7.8400 and 12.5248 Å, with angles of 90.00, 119.21 and 90.00 degrees. The asymmetric unit holds La at (0.1285, 0.0165, 0.2449), La at (0.2181, 0.6675, 0.0441), La at (0.3605, 0.2053, 0.0433), Ni at (0.0000, 0.0000, 0.0000) and Hg at (0.3426, 0.0989, 0.7686).

Its density of states at the Fermi level is 1.171 states/eV/atom. The energy above the most stable polymorph in this dataset is 74.4 meV/atom. As for the energy of formation: -0.252 eV per atom.

[2]
A relaxed structure of Na2TbGaSe4. Source: Alexandria via LeMat-Bulk, functional GGA-PBE.

The space group is C2/c (No. 15) and the conventional cell measures 11.5319, 11.7164 and 7.9295 Å, with angles of 90.00, 133.41 and 90.00 degrees. The asymmetric unit holds Na at (0.0000, 0.0000, 0.0000), Na at (0.2500, 0.2500, 0.0000), Tb at (0.2500, 0.2500, 0.5000), Ga at (0.0000, 0.5000, 0.0000), Se at (0.0001, 0.2571, 0.0051) and Se at (0.2125, 0.4980, 0.4635).

Its density of states at the Fermi level is 0.092 states/eV/atom. The calculation puts the uncorrected formation energy at -1.159 eV/atom.

[3]
A relaxed structure of YAs. Source: Alexandria via LeMat-Bulk, functional GGA-PBE.

The space group is R-3m (No. 166, hexagonal axes) and the conventional cell measures 4.8439, 4.8439 and 17.6605 Å, with angles of 90.00, 90.00 and 120.00 degrees. The asymmetric unit holds Y at (0.0000, 0.0000, 0.1007) and As at (0.0000, 0.0000, 0.4210).

Its density of states at the Fermi level is 0.745 states/eV/atom. As for the energy of formation: -0.473 eV per atom.

[4]
A relaxed structure of Ba2La2I. Source: Alexandria via LeMat-Bulk, functional GGA-PBE.

The space group is P4/mbm (No. 127) and the conventional cell measures 8.4950, 8.4950 and 6.5231 Å, with angles of 90.00, 90.00 and 90.00 degrees. The asymmetric unit holds Ba at (0.1602, 0.3398, 0.0000), La at (0.1424, 0.6424, 0.5000) and I at (0.0000, 0.0000, 0.5000).

Its density of states at the Fermi level is 2.031 states/eV/atom. The calculation puts the uncorrected formation energy at -0.157 eV/atom.

Number 1: E -0.312 Ry per atom. Number 2: E -0.308 Ry per atom. Number 3: E -0.443 Ry per atom. Number 4: E -0.236 Ry per atom.